Material: NdTm5P6
Method: DFT, PBE
State: relaxed

a b c (Å): 6.908 11.961 6.906
angles (deg): 90.00 109.51 90.00
Space group C2/m (No. 12)
Symmetry-distinct sites (fractional):
1 Nd 0.000 0.000 0.000 [2 per cell]
2 Tm 0.000 0.165 0.500 [4 per cell]
3 Tm 0.000 0.333 0.000 [4 per cell]
4 Tm 0.000 0.500 0.500 [2 per cell]
5 P 0.244 0.500 0.254 [4 per cell]
6 P 0.245 0.330 0.745 [8 per cell]

Properties
final energy	-0.4813	Ry per atom
energy of formation	-1833	kJ/mol of formula units


Material: Nd2TmUP4
Method: DFT, PBE
State: relaxed

a b c (Å): 6.989 4.035 7.032
angles (deg): 90.00 109.18 90.00
Space group P2/m (No. 10)
Symmetry-distinct sites (fractional):
1 Nd 0.000 0.000 0.000 [1 per cell]
2 Nd 0.500 0.500 0.000 [1 per cell]
3 Tm 0.000 0.500 0.500 [1 per cell]
4 U 0.500 0.000 0.500 [1 per cell]
5 P 0.249 0.000 0.732 [2 per cell]
6 P 0.258 0.500 0.268 [2 per cell]

Properties
final energy	-0.5347	Ry per atom
energy of formation	-1087	kJ/mol of formula units


Material: NdYTm2P4
Method: DFT, PBE
State: relaxed

a b c (Å): 6.962 4.024 6.964
angles (deg): 90.00 109.48 90.00
Space group P2/m (No. 10)
Symmetry-distinct sites (fractional):
1 Nd 0.000 0.000 0.000 [1 per cell]
2 Y 0.000 0.500 0.500 [1 per cell]
3 Tm 0.500 0.000 0.500 [1 per cell]
4 Tm 0.500 0.500 0.000 [1 per cell]
5 P 0.257 0.000 0.748 [2 per cell]
6 P 0.260 0.500 0.257 [2 per cell]

Properties
final energy	-0.5005	Ry per atom
energy of formation	-1222	kJ/mol of formula units


Material: Nd2YTmP4
Method: DFT, PBE
State: relaxed

a b c (Å): 7.054 4.078 7.060
angles (deg): 90.00 109.48 90.00
Space group P2/m (No. 10)
Symmetry-distinct sites (fractional):
1 Nd 0.000 0.000 0.000 [1 per cell]
2 Nd 0.000 0.500 0.500 [1 per cell]
3 Y 0.500 0.000 0.500 [1 per cell]
4 Tm 0.500 0.500 0.000 [1 per cell]
5 P 0.260 0.500 0.252 [2 per cell]
6 P 0.262 0.000 0.756 [2 per cell]

Properties
final energy	-0.5021	Ry per atom
energy of formation	-1210	kJ/mol of formula units


Material: Nd2TmZrP4
Method: DFT, PBE
State: relaxed

a b c (Å): 6.910 3.988 6.935
angles (deg): 90.00 109.25 90.00
Space group P2/m (No. 10)
Symmetry-distinct sites (fractional):
1 Nd 0.000 0.000 0.000 [1 per cell]
2 Nd 0.500 0.500 0.000 [1 per cell]
3 Tm 0.000 0.500 0.500 [1 per cell]
4 Zr 0.500 0.000 0.500 [1 per cell]
5 P 0.250 0.000 0.731 [2 per cell]
6 P 0.263 0.500 0.272 [2 per cell]

Properties
final energy	-0.5166	Ry per atom
energy of formation	-1162	kJ/mol of formula units


Material: NdUP
Method: DFT, PBE
State: relaxed

a b c (Å): 7.1801 7.1801 4.5762
angles (deg): 90.00 90.00 120.00
Space group P-62m (No. 189)
Symmetry-distinct sites (fractional):
1 Nd 0.0000 0.5653 0.0000 [3 per cell]
2 U 0.0000 0.2055 0.5000 [3 per cell]
3 P 0.0000 0.0000 0.0000 [1 per cell]
4 P 0.3333 0.6667 0.5000 [2 per cell]

Properties
final energy	-0.5746	Ry per atom
energy of formation	-192	kJ/mol of formula units


Material: NdU4P5
Method: DFT, PBE
State: relaxed

a b c (Å): 3.967 5.629 19.992
angles (deg): 90.00 90.00 90.00
Space group Immm (No. 71)
Symmetry-distinct sites (fractional):
1 Nd 0.000 0.000 0.000 [2 per cell]
2 U 0.000 0.000 0.203 [4 per cell]
3 U 0.000 0.000 0.400 [4 per cell]
4 P 0.000 0.500 0.000 [2 per cell]
5 P 0.000 0.500 0.199 [4 per cell]
6 P 0.000 0.500 0.394 [4 per cell]

Properties
final energy	-0.6435	Ry per atom
energy of formation	-1021	kJ/mol of formula units


Material: NdUP
Method: DFT, PBE
State: relaxed

a b c (Å): 3.7936 3.7936 6.6231
angles (deg): 90.00 90.00 120.00
Space group P3m1 (No. 156)
Symmetry-distinct sites (fractional):
1 Nd 0.0000 0.0000 0.0000 [1 per cell]
2 U 0.3333 0.6667 0.5261 [1 per cell]
3 P 0.6667 0.3333 0.2770 [1 per cell]

Properties
final energy	-0.5558	Ry per atom
energy of formation	-118	kJ/mol of formula units


Material: NdU2P3
Method: DFT, PBE
State: relaxed

a b c (Å): 5.673 12.059 7.997
angles (deg): 90.00 90.02 90.00
Space group P2_1/c (No. 14)
Symmetry-distinct sites (fractional):
1 Nd 0.250 0.080 0.125 [4 per cell]
2 U 0.250 0.085 0.622 [4 per cell]
3 U 0.251 0.746 0.625 [4 per cell]
4 P 0.249 0.248 0.874 [4 per cell]
5 P 0.250 0.588 0.364 [4 per cell]
6 P 0.250 0.588 0.883 [4 per cell]

Properties
final energy	-0.6165	Ry per atom
energy of formation	-651	kJ/mol of formula units


Material: NdU2P4
Method: DFT, PBE
State: relaxed

a b c (Å): 4.006 13.104 12.519
angles (deg): 90.00 90.00 90.00
Space group Cmcm (No. 63)
Symmetry-distinct sites (fractional):
1 Nd 0.000 0.112 0.250 [4 per cell]
2 U 0.000 0.368 0.062 [8 per cell]
3 P 0.000 0.000 0.000 [4 per cell]
4 P 0.000 0.261 0.623 [8 per cell]
5 P 0.000 0.455 0.250 [4 per cell]

Properties
final energy	-0.5759	Ry per atom
energy of formation	-566	kJ/mol of formula units


Material: Nd2YUP4
Method: DFT, PBE
State: relaxed

a b c (Å): 7.025 4.051 7.054
angles (deg): 90.00 109.18 90.00
Space group P2/m (No. 10)
Symmetry-distinct sites (fractional):
1 Nd 0.000 0.000 0.000 [1 per cell]
2 Nd 0.500 0.500 0.000 [1 per cell]
3 Y 0.000 0.500 0.500 [1 per cell]
4 U 0.500 0.000 0.500 [1 per cell]
5 P 0.252 0.000 0.735 [2 per cell]
6 P 0.260 0.500 0.266 [2 per cell]

Properties
final energy	-0.5537	Ry per atom
energy of formation	-1094	kJ/mol of formula units


Material: NdY2UP4
Method: DFT, PBE
State: relaxed

a b c (Å): 6.965 4.018 6.988
angles (deg): 90.00 109.24 90.00
Space group P2/m (No. 10)
Symmetry-distinct sites (fractional):
1 Nd 0.000 0.000 0.000 [1 per cell]
2 Y 0.500 0.000 0.500 [1 per cell]
3 Y 0.500 0.500 0.000 [1 per cell]
4 U 0.000 0.500 0.500 [1 per cell]
5 P 0.247 0.000 0.741 [2 per cell]
6 P 0.251 0.500 0.262 [2 per cell]

Properties
final energy	-0.5701	Ry per atom
energy of formation	-1103	kJ/mol of formula units


Copy entry 7 word for word.
Material: NdU4P5
Method: DFT, PBE
State: relaxed

a b c (Å): 3.967 5.629 19.992
angles (deg): 90.00 90.00 90.00
Space group Immm (No. 71)
Symmetry-distinct sites (fractional):
1 Nd 0.000 0.000 0.000 [2 per cell]
2 U 0.000 0.000 0.203 [4 per cell]
3 U 0.000 0.000 0.400 [4 per cell]
4 P 0.000 0.500 0.000 [2 per cell]
5 P 0.000 0.500 0.199 [4 per cell]
6 P 0.000 0.500 0.394 [4 per cell]

Properties
final energy	-0.6435	Ry per atom
energy of formation	-1021	kJ/mol of formula units